VASP calculation (PBE) on a relaxed CaTaH crystal.

Space-group type ... P1 (1)
Volume ... 103.22 Å³/cell
Offset from the most stable computed form ... 247 meV per atom
Crystal system ... triclinic
VASP energy ... -0.4095 Ry/atom

Cell lengths 6.7686, 4.8941, 3.1422 Å; angles 90.56, 97.39, 89.62 degrees
Element x y z (fractional)
1 Ca 0.0965 0.8624 0.2678
2 Ca 0.7835 0.3619 0.4089
3 H 0.5216 0.6388 0.2133
4 H 0.1584 0.3548 0.3726
5 Ta 0.5250 0.8778 0.7346
6 Ta 0.3436 0.3617 0.9167